Entry 1:
## Tm4ZnPb3 (PBE)

Data for a relaxed Tm4ZnPb3 crystal.

Cell: 4.345 4.402 11.357 Å, 90.00 90.00 90.00°
Space group Pmm2 (No. 25)
Unique sites:
Tm (0.000, 0.000, 0.000) [1 per cell]
Tm (0.000, 0.500, 0.479) [1 per cell]
Tm (0.500, 0.000, 0.720) [1 per cell]
Tm (0.500, 0.500, 0.223) [1 per cell]
Zn (0.000, 0.000, 0.266) [1 per cell]
Pb (0.000, 0.500, 0.749) [1 per cell]
Pb (0.500, 0.000, 0.438) [1 per cell]
Pb (0.500, 0.500, 0.954) [1 per cell]

Calculated values
E_tot = -33.24 eV/cell

Entry 2:
## Rb3Dy3SbTe8 (PBE)

Data for a relaxed Rb3Dy3SbTe8 crystal.

Cell: 15.422 8.881 10.169 Å, 90.00 120.44 90.00°
Space group C2/m (No. 12)
Unique sites:
Rb (0.000, 0.000, 0.000) [2 per cell]
Rb (0.250, 0.250, 0.000) [4 per cell]
Dy (0.000, 0.500, 0.500) [2 per cell]
Dy (0.250, 0.250, 0.500) [4 per cell]
Sb (0.000, 0.000, 0.500) [2 per cell]
Te (0.018, 0.249, 0.305) [8 per cell]
Te (0.231, 0.000, 0.696) [4 per cell]
Te (0.233, 0.500, 0.700) [4 per cell]

Calculated values
ΔE_f (raw) = -105.5 kJ/mol of atoms

Entry 3:
## CaNiN (PBE)

Data for a relaxed CaNiN crystal.

Cell: 9.523 3.361 6.321 Å, 90.00 121.72 90.00°
Space group Cm (No. 8)
Unique sites:
Ca (0.000, 0.000, 0.000) [2 per cell]
Ca (0.132, 0.500, 0.655) [2 per cell]
Ni (0.298, 0.500, 0.198) [2 per cell]
Ni (0.303, 0.000, 0.474) [2 per cell]
N (0.284, 0.000, 0.999) [2 per cell]
N (0.367, 0.500, 0.546) [2 per cell]

Calculated values
E above lowest polymorph = 0.306 eV per atom
ΔE_f (raw) = -36.3 kJ/mol of atoms

Entry 4:
## Cs3FeI (PBE)

Data for a relaxed Cs3FeI crystal.

Cell: 6.565 6.565 6.565 Å, 90.00 90.00 90.00°
Space group Pm-3m (No. 221)
Unique sites:
Cs (0.000, 0.000, 0.500) [3 per cell]
Fe (0.000, 0.000, 0.000) [1 per cell]
I (0.500, 0.500, 0.500) [1 per cell]

Calculated values
E above lowest polymorph = 0.000 eV per atom
ΔE_f (raw) = 15.1 kJ/mol of atoms

Entry 5:
## LaPr5HoTm2 (PBE)

Data for a relaxed LaPr5HoTm2 crystal.

Cell: 5.743 20.475 10.711 Å, 90.00 90.00 90.00°
Space group Cmc2_1 (No. 36)
Unique sites:
La (0.000, 0.085, 0.000) [4 per cell]
Pr (0.000, 0.020, 0.290) [4 per cell]
Pr (0.000, 0.116, 0.572) [4 per cell]
Pr (0.000, 0.204, 0.255) [4 per cell]
Pr (0.000, 0.220, 0.864) [4 per cell]
Pr (0.000, 0.484, 0.571) [4 per cell]
Ho (0.000, 0.303, 0.561) [4 per cell]
Tm (0.000, 0.385, 0.866) [4 per cell]
Tm (0.000, 0.386, 0.285) [4 per cell]

Calculated values
E_tot = -163.99 eV/cell

Entry 6:
## SrTh2MnN4 (PBE)

Data for a relaxed SrTh2MnN4 crystal.

Cell: 3.689 12.197 12.174 Å, 90.00 90.00 90.00°
Space group Cmcm (No. 63)
Unique sites:
Sr (0.000, 0.099, 0.250) [4 per cell]
Th (0.000, 0.369, 0.052) [8 per cell]
Mn (0.000, 0.169, 0.750) [4 per cell]
N (0.000, 0.000, 0.000) [4 per cell]
N (0.000, 0.258, 0.612) [8 per cell]
N (0.000, 0.420, 0.250) [4 per cell]

Calculated values
ΔE_f (raw) = -107.3 kJ/mol of atoms

Entry 7:
## Co2RhW (PBE)

Data for a relaxed Co2RhW crystal.

Cell: 3.704 3.704 7.476 Å, 90.00 90.00 90.00°
Space group I-4m2 (No. 119)
Unique sites:
Co (0.000, 0.000, 0.000) [2 per cell]
Co (0.000, 0.500, 0.250) [2 per cell]
Rh (0.000, 0.500, 0.750) [2 per cell]
W (0.000, 0.000, 0.500) [2 per cell]

Calculated values
E above lowest polymorph = 0.013 eV per atom

Entry 8:
## BaSr2Br (PBE)

Data for a relaxed BaSr2Br crystal.

Cell: 5.246 5.246 14.622 Å, 90.00 90.00 90.00°
Space group I4/mmm (No. 139)
Unique sites:
Ba (0.000, 0.000, 0.000) [2 per cell]
Sr (0.000, 0.500, 0.250) [4 per cell]
Br (0.000, 0.000, 0.500) [2 per cell]

Calculated values
E above lowest polymorph = 0.302 eV per atom
ΔE_f (raw) = -41.8 kJ/mol of atoms

Entry 9:
## HgBiIO2 (PBE)

Data for a relaxed HgBiIO2 crystal.

Cell: 4.465 4.465 5.686 Å, 90.00 90.00 90.00°
Space group P4/mmm (No. 123)
Unique sites:
Hg (0.000, 0.000, 0.000) [1 per cell]
Bi (0.500, 0.500, 0.500) [1 per cell]
I (0.000, 0.000, 0.500) [1 per cell]
O (0.000, 0.500, 0.000) [2 per cell]

Calculated values
ΔE_f (raw) = 44.8 kJ/mol of atoms

Entry 10:
## PaCu4As3O12 (PBE)

Data for a relaxed PaCu4As3O12 crystal.

Cell: 7.555 7.555 7.555 Å, 90.00 90.00 90.00°
Space group Im-3 (No. 204)
Unique sites:
Pa (0.000, 0.000, 0.000) [2 per cell]
Cu (0.250, 0.250, 0.250) [8 per cell]
As (0.000, 0.000, 0.500) [6 per cell]
O (0.000, 0.298, 0.169) [24 per cell]

Calculated values
ΔE_f (raw) = -91.5 kJ/mol of atoms

Entry 11:
## CaNiPb2 (PBE)

Data for a relaxed CaNiPb2 crystal.

Cell: 3.592 5.737 9.793 Å, 90.00 90.00 90.00°
Space group Immm (No. 71)
Unique sites:
Ca (0.000, 0.000, 0.000) [2 per cell]
Ni (0.000, 0.000, 0.500) [2 per cell]
Pb (0.000, 0.500, 0.205) [4 per cell]

Calculated values
E_tot = -31.29 eV/cell

Entry 12:
## Cu2HgSb (PBE)

Data for a relaxed Cu2HgSb crystal.

Cell: 3.2354 3.2354 26.0223 Å, 90.00 90.00 120.00°
Space group R3m (No. 160, hexagonal axes)
Unique sites:
Cu (0.0000, 0.0000, 0.0000) [3 per cell]
Cu (0.0000, 0.0000, 0.2692) [3 per cell]
Hg (0.0000, 0.0000, 0.7471) [3 per cell]
Sb (0.0000, 0.0000, 0.5266) [3 per cell]

Calculated values
ΔE_f (raw) = 28.4 kJ/mol of atoms